# 1
A geometry-optimized Si2BN structure, computed with PBE.

The value obtained for the offset from the most stable computed form is 157.4 kJ/mol of atoms. The value obtained for the formation energy (no corrections) is 1.2804 eV per atom.

It has space group Fm-3m (No. 225), with a = 5.3612 Å, b = 5.3612 Å, c = 5.3612 Å, α = 90.00°, β = 90.00° and γ = 90.00°. Symmetry generates all atoms from Si at (0.2500, 0.2500, 0.2500), B at (0.0000, 0.0000, 0.0000) and N at (0.0000, 0.0000, 0.5000).

=====

# 2
A geometry-optimized Pm2HoNb structure, computed with PBE.

The value obtained for the formation enthalpy at 0 K is 0.560 eV/atom.

It has space group R-3m (No. 166, hexagonal axes), with a = 3.3457 Å, b = 3.3457 Å, c = 35.0973 Å, α = 90.00°, β = 90.00° and γ = 120.00°. Symmetry generates all atoms from Pm at (0.0000, 0.0000, 0.0829), Ho at (0.0000, 0.0000, 0.5000) and Nb at (0.0000, 0.0000, 0.0000).

=====

no.,DOS at the Fermi energy (states/eV/f.u.)
1,1.9
2,5.0